[1]
DFT (GGA-PBE) results for an optimized crystal structure of Ca2I3Cl.

Cell lengths 20.2974, 4.4231, 15.2521 Å; angles 90.00, 127.71, 90.00 degrees
Space group C2/m (No. 12)
Inequivalent atoms, fractional coordinates:
Ca (0.2383, 0.0000, 0.3619) x4
Ca (0.2389, 0.5000, 0.1192) x4
I (0.1204, 0.5000, 0.1888) x4
I (0.1333, 0.0000, 0.9328) x4
I (0.1419, 0.0000, 0.4655) x4
Cl (0.1869, 0.5000, 0.7402) x4

Results
- spin magnetization (μB/f.u.) = 0.000
- calculated volume (A^3/atom) = 45.13
- energy (Ry/atom) = -0.2617


[2]
DFT (GGA-PBE) results for an optimized crystal structure of CaICl2.

Cell lengths 4.2044, 7.0920, 11.3951 Å; angles 79.52, 89.17, 89.94 degrees
Space group P1 (No. 1)
Inequivalent atoms, fractional coordinates:
Ca (0.0000, 0.0000, 0.0000) x1
Ca (0.4994, 0.4989, 0.0019) x1
I (0.1406, 0.4295, 0.4941) x1
I (0.3599, 0.0706, 0.5075) x1
Cl (0.0041, 0.6997, 0.8766) x1
Cl (0.4954, 0.7992, 0.1253) x1
Cl (0.5047, 0.2015, 0.8764) x1
Cl (0.9948, 0.2974, 0.1256) x1

Results
- spin magnetization (μB/f.u.) = 0.000
- calculated volume (A^3/atom) = 41.76
- energy (Ry/atom) = -0.2608


[3]
DFT (GGA-PBE) results for an optimized crystal structure of Ca2ICl.

Cell lengths 7.6641, 7.6641, 7.6641 Å; angles 90.00, 90.00, 90.00 degrees
Space group Fm-3m (No. 225)
Inequivalent atoms, fractional coordinates:
Ca (0.2500, 0.2500, 0.2500) x8
I (0.0000, 0.0000, 0.0000) x4
Cl (0.0000, 0.0000, 0.5000) x4

Results
- spin magnetization (μB/f.u.) = 1.455
- calculated volume (A^3/atom) = 28.14
- energy (Ry/atom) = -0.2063